The following is a DFT calculation (GGA-PBEsol) of an optimized crystal structure of BaCuPO2.

Output
D(E_F) = 2.6 states/eV/cell
Raw formation energy = -0.57 eV/atom
Crystal system = tetragonal
Magnetization = 0.0 μB per cell

The structure in POSCAR format:
```
BaCuPO2
1.0
4.222 0.000 0.000
0.000 4.257 0.000
0.000 0.000 4.257
P O Cu Ba
1 2 1 1
Cartesian
2.111 0.000 0.000
0.000 0.000 2.128
0.000 2.128 0.000
0.000 0.000 0.000
2.111 2.128 2.128
```

The following is a DFT calculation (GGA-PBEsol) of an optimized crystal structure of SbAu3I.

Output
D(E_F) = 5.0 states/eV/cell
Raw formation energy = 0.52 eV/atom
Crystal system = cubic
Magnetization = 0.0 μB per cell

The structure in POSCAR format:
```
SbAu3I
1.0
5.166 0.000 0.000
0.000 5.166 0.000
0.000 0.000 5.166
I Au Sb
1 3 1
Cartesian
2.583 2.583 2.583
2.583 0.000 0.000
0.000 2.583 0.000
0.000 0.000 2.583
0.000 0.000 0.000
```

The following is a DFT calculation (GGA-PBEsol) of an optimized crystal structure of CrTcW2.

Output
D(E_F) = 3.6 states/eV/cell
Formation energy from the elements = 0.113 eV per atom
Crystal system = monoclinic
Magnetization = 0.0 μB per cell

The structure in POSCAR format:
```
CrTcW2
1.0
-2.641 -0.437 -0.029
0.495 -2.781 -3.198
1.443 -3.562 3.321
W Cr Tc
2 1 1
Cartesian
-0.324 -0.986 0.807
-0.874 -3.013 2.485
-1.073 -1.609 -1.613
0.969 -3.171 0.061
```

The following is a DFT calculation (GGA-PBEsol) of an optimized crystal structure of Zr2ZnSi.

Output
D(E_F) = 2.2 states/eV/cell
Raw formation energy = -0.46 eV/atom
Crystal system = orthorhombic
Magnetization = 0.0 μB per cell

The structure in POSCAR format:
```
Zr2ZnSi
1.0
3.686 0.000 0.000
0.000 4.119 0.000
-1.843 -2.059 4.650
Zr Zn Si
2 1 1
Cartesian
1.843 0.000 2.374
1.843 2.059 4.585
0.000 2.059 2.114
1.843 2.059 0.226
```

The following is a DFT calculation (GGA-PBEsol) of an optimized crystal structure of TmScPd2.

Output
D(E_F) = 2.3 states/eV/cell
Formation energy from the elements = -0.898 eV per atom
Crystal system = cubic
Magnetization = 0.0 μB per cell

The structure in POSCAR format:
```
TmScPd2
1.0
-2.680 -3.822 0.702
1.143 -4.094 -2.053
1.629 -3.578 2.614
Tm Pd Sc
1 2 1
Cartesian
0.000 0.000 0.000
0.068 -8.620 0.947
0.023 -2.873 0.316
0.046 -5.747 0.631
```

The following is a DFT calculation (GGA-PBEsol) of an optimized crystal structure of Al2HgPt.

Output
D(E_F) = 2.2 states/eV/cell
Formation energy from the elements = -0.027 eV per atom
Crystal system = cubic
Magnetization = 0.0 μB per cell

The structure in POSCAR format:
```
Al2HgPt
1.0
-0.181 2.680 -3.698
-1.934 -1.539 -3.845
-4.004 1.712 -1.388
Hg Pt Al
1 1 2
Cartesian
-3.059 1.427 -4.466
-1.530 0.713 -2.233
-4.589 2.140 -6.698
0.000 0.000 0.000
```

The following is a DFT calculation (GGA-PBEsol) of an optimized crystal structure of CsAl3N.

Output
D(E_F) = 7.2 states/eV/cell
Raw formation energy = 2.70 eV/atom
Crystal system = cubic
Magnetization = 1.1 μB per cell

The structure in POSCAR format:
```
CsAl3N
1.0
-1.300 -0.395 -6.093
5.805 -2.010 -1.109
-1.892 -5.897 0.786
Cs Al N
1 3 1
Cartesian
0.000 0.000 0.000
-0.946 -2.948 0.393
2.903 -1.005 -0.554
-0.650 -0.198 -3.046
1.306 -4.151 -3.208
```

The following is a DFT calculation (GGA-PBEsol) of an optimized crystal structure of LaTlAu4.

Output
D(E_F) = 2.2 states/eV/cell
Formation energy from the elements = -0.452 eV per atom
Crystal system = cubic
Magnetization = 0.0 μB per cell

The structure in POSCAR format:
```
LaTlAu4
1.0
-0.516 3.932 3.963
-2.642 -1.188 4.800
2.913 -0.429 4.771
Au Tl La
4 1 1
Cartesian
-1.416 0.272 7.477
-0.351 2.839 7.057
-0.092 0.868 5.071
1.368 0.653 7.463
0.000 0.000 0.000
-0.184 1.737 10.151
```

The following is a DFT calculation (GGA-PBEsol) of an optimized crystal structure of Sb2PbAu.

Output
D(E_F) = 2.4 states/eV/cell
Raw formation energy = -0.01 eV/atom
Crystal system = trigonal
Magnetization = 0.0 μB per cell

The structure in POSCAR format:
```
Sb2PbAu
1.0
4.121 0.000 0.000
2.060 3.569 0.000
2.060 1.190 7.156
Pb Sb Au
1 2 1
Cartesian
0.000 0.000 0.000
2.060 1.190 2.128
6.181 3.569 5.028
4.121 2.379 3.578
```

The following is a DFT calculation (GGA-PBEsol) of an optimized crystal structure of CoMo5.

Output
D(E_F) = 7.4 states/eV/cell
Formation energy from the elements = 0.322 eV per atom
Crystal system = orthorhombic
Magnetization = 0.0 μB per cell

The structure in POSCAR format:
```
CoMo5
1.0
-0.285 -2.195 1.310
2.268 -2.206 -3.203
6.631 2.445 3.012
Co Mo
1 5
Cartesian
6.323 0.246 4.309
4.100 -0.487 0.075
1.832 -0.687 1.771
4.331 0.899 2.447
1.714 -2.050 -0.538
6.162 -1.126 1.976
```

The following is a DFT calculation (GGA-PBEsol) of an optimized crystal structure of Ba3NaAu.

Output
D(E_F) = 3.7 states/eV/cell
Formation energy from the elements = -0.260 eV per atom
Crystal system = cubic
Magnetization = 0.0 μB per cell

The structure in POSCAR format:
```
Ba3NaAu
1.0
-0.698 6.247 -0.997
-6.117 -0.411 1.706
1.610 1.145 6.050
Ba Au Na
3 1 1
Cartesian
-0.349 3.123 -0.498
-3.059 -0.206 0.853
0.805 0.572 3.025
0.000 0.000 0.000
-2.603 3.490 3.380
```

The following is a DFT calculation (GGA-PBEsol) of an optimized crystal structure of Mg2Zn2Se3.

Output
D(E_F) = 1.8 states/eV/cell
Raw formation energy = -0.48 eV/atom
Crystal system = orthorhombic
Magnetization = 0.0 μB per cell

The structure in POSCAR format:
```
Mg2Zn2Se3
1.0
3.607 0.000 0.000
0.000 3.575 0.000
0.000 1.788 13.007
Zn Mg Se
2 2 3
Cartesian
1.803 1.788 7.331
1.803 3.575 5.675
0.000 3.575 10.496
0.000 1.788 2.510
1.803 3.575 3.289
1.803 1.788 9.718
0.000 1.788 0.000
```

The following is a DFT calculation (GGA-PBEsol) of an optimized crystal structure of Zr3CdH.

Output
D(E_F) = 2.4 states/eV/cell
Calculated total energy = -6.642 eV per atom
Crystal system = cubic
Magnetization = 0.0 μB per cell

The structure in POSCAR format:
```
Zr3CdH
1.0
-0.721 -0.617 4.305
2.092 -3.875 -0.205
3.813 2.010 0.927
Zr Cd H
3 1 1
Cartesian
1.046 -1.938 -0.103
1.907 1.005 0.463
-0.360 -0.309 2.153
2.592 -1.241 2.513
0.000 0.000 0.000
```

The following is a DFT calculation (GGA-PBEsol) of an optimized crystal structure of LaScTl2.

Output
D(E_F) = 4.0 states/eV/cell
Formation energy from the elements = -0.166 eV per atom
Crystal system = orthorhombic
Magnetization = 0.0 μB per cell

The structure in POSCAR format:
```
LaScTl2
1.0
-3.345 0.304 -1.376
-0.211 -4.491 -0.482
-2.561 -0.535 6.106
Tl La Sc
2 1 1
Cartesian
-2.407 -2.225 0.572
-2.482 -0.518 5.918
-1.251 -0.261 2.982
-3.817 -2.520 3.935
```

The following is a DFT calculation (GGA-PBEsol) of an optimized crystal structure of AlZn.

Output
D(E_F) = 0.8 states/eV/cell
Formation energy from the elements = 0.068 eV per atom
Crystal system = hexagonal
Magnetization = 0.0 μB per cell

The structure in POSCAR format:
```
AlZn
1.0
2.764 0.000 0.000
-1.382 2.394 0.000
0.000 0.000 4.672
Al Zn
1 1
Cartesian
0.000 0.000 0.000
0.000 1.596 2.336
```

The following is a DFT calculation (GGA-PBEsol) of an optimized crystal structure of TcNiP.

Output
D(E_F) = 4.9 states/eV/cell
Formation energy from the elements = 0.020 eV per atom
Crystal system = cubic
Magnetization = 0.1 μB per cell

The structure in POSCAR format:
```
TcNiP
1.0
-0.340 -3.044 2.432
3.030 -2.411 0.552
1.905 0.004 3.416
Tc P Ni
1 1 1
Cartesian
1.149 -1.363 1.600
2.298 -2.725 3.200
0.000 0.000 0.000
```

The following is a DFT calculation (GGA-PBEsol) of an optimized crystal structure of Cd2HgTe.

Output
D(E_F) = 1.6 states/eV/cell
Raw formation energy = 0.11 eV/atom
Crystal system = trigonal
Magnetization = 0.0 μB per cell

The structure in POSCAR format:
```
Cd2HgTe
1.0
-2.594 1.193 -1.199
-1.721 -1.682 -1.948
-7.524 -4.355 7.948
Hg Cd Te
1 2 1
Cartesian
-5.920 -2.422 2.401
-8.755 -3.547 3.417
-3.084 -1.297 1.385
0.000 0.000 0.000
```

The following is a DFT calculation (GGA-PBEsol) of an optimized crystal structure of CoIr2Os.

Output
D(E_F) = 4.2 states/eV/cell
Formation energy from the elements = 0.080 eV per atom
Crystal system = trigonal
Magnetization = 1.4 μB per cell

The structure in POSCAR format:
```
CoIr2Os
1.0
-1.428 -0.325 2.237
-2.528 -0.861 -0.141
1.410 -8.498 1.265
Ir Co Os
2 1 1
Cartesian
-1.917 -7.240 2.519
-3.924 -1.282 2.103
-0.632 -2.433 0.841
-1.301 -4.758 1.675
```

The following is a DFT calculation (GGA-PBEsol) of an optimized crystal structure of Sc5Zn.

Output
D(E_F) = 8.5 states/eV/cell
Formation energy from the elements = -0.046 eV per atom
Crystal system = orthorhombic
Magnetization = 0.0 μB per cell

The structure in POSCAR format:
```
Sc5Zn
1.0
-1.942 -2.517 2.972
3.069 -3.021 -0.553
5.260 1.382 4.607
Sc Zn
5 1
Cartesian
3.044 -0.843 4.461
3.344 -3.312 2.566
0.564 -2.769 1.210
2.715 -0.594 1.270
5.615 -1.044 2.784
0.000 0.000 0.000
```

The following is a DFT calculation (GGA-PBEsol) of an optimized crystal structure of SmBRh3.

Output
D(E_F) = 3.7 states/eV/cell
Formation energy from the elements = -0.736 eV per atom
Crystal system = cubic
Magnetization = 0.0 μB per cell

The structure in POSCAR format:
```
SmBRh3
1.0
-1.040 0.422 -4.019
3.960 -0.718 -1.100
-0.803 -4.089 -0.222
Rh Sm B
3 1 1
Cartesian
-0.921 -1.833 -2.120
1.460 -0.148 -2.559
1.579 -2.403 -0.661
0.000 0.000 0.000
1.059 -2.192 -2.670
```